DFT (PBE with a Hubbard U) results for a geometry-optimized AcNpVO6 structure.

## Properties
For the raw total energy, the calculation gives -153.331 eV for the cell shown. The calculated volume comes out at 253.3 Å³/cell. For the density of states at the Fermi level, the calculation gives 0.714 states/eV/atom. For the total moment, the calculation gives 3.00 μB per formula unit.

Structure (POSCAR):
```
AcNpVO6
1.0
5.817 0.000 0.000
-2.908 5.037 0.000
0.000 0.000 8.645
Ac Np V O
2 2 2 12
Direct
0.333 0.667 0.250
0.667 0.333 0.750
0.667 0.333 0.250
0.333 0.667 0.750
0.000 0.000 0.000
0.000 0.000 0.500
0.719 0.659 0.118
0.940 0.281 0.118
0.281 0.940 0.618
0.060 0.719 0.882
0.341 0.281 0.382
0.940 0.659 0.382
0.659 0.940 0.882
0.719 0.060 0.382
0.060 0.341 0.618
0.341 0.060 0.118
0.659 0.719 0.618
0.281 0.341 0.882
```

=====

DFT (PBE with a Hubbard U) results for a geometry-optimized LiMn6O4F8 structure.

## Properties
For the raw total energy, the calculation gives -123.541 eV for the cell shown. The calculated volume comes out at 237.7 Å³/cell. For the total moment, the calculation gives 27.00 μB per formula unit. For the relative energy among the computed polymorphs, the calculation gives 0.022 eV per atom.

Structure (POSCAR):
```
LiMn6O4F8
1.0
-5.052 -0.058 -0.030
0.224 5.942 0.014
-0.071 -0.665 -7.924
Li Mn O F
1 6 4 8
Direct
0.004 0.025 0.527
0.490 0.517 0.002
0.459 0.171 0.674
0.500 0.837 0.333
0.050 0.638 0.693
0.921 0.390 0.314
0.011 0.021 0.986
0.181 0.975 0.748
0.334 0.463 0.788
0.355 0.097 0.444
0.645 0.571 0.220
0.186 0.633 0.434
0.180 0.335 0.102
0.302 0.829 0.104
0.721 0.814 0.548
0.678 0.204 0.913
0.828 0.317 0.577
0.830 0.043 0.246
0.797 0.703 0.908
```

=====

Repeat the first record exactly.
DFT (PBE with a Hubbard U) results for a geometry-optimized AcNpVO6 structure.

## Properties
For the raw total energy, the calculation gives -153.331 eV for the cell shown. The calculated volume comes out at 253.3 Å³/cell. For the density of states at the Fermi level, the calculation gives 0.714 states/eV/atom. For the total moment, the calculation gives 3.00 μB per formula unit.

Structure (POSCAR):
```
AcNpVO6
1.0
5.817 0.000 0.000
-2.908 5.037 0.000
0.000 0.000 8.645
Ac Np V O
2 2 2 12
Direct
0.333 0.667 0.250
0.667 0.333 0.750
0.667 0.333 0.250
0.333 0.667 0.750
0.000 0.000 0.000
0.000 0.000 0.500
0.719 0.659 0.118
0.940 0.281 0.118
0.281 0.940 0.618
0.060 0.719 0.882
0.341 0.281 0.382
0.940 0.659 0.382
0.659 0.940 0.882
0.719 0.060 0.382
0.060 0.341 0.618
0.341 0.060 0.118
0.659 0.719 0.618
0.281 0.341 0.882
```

=====

- Among the records above, which one has the highest calculated volume?
  AcNpVO6

=====

- What is the raw total energy in the first record?
  -153.331 eV for the cell shown

=====

- Among the records above, which one has the lowest raw total energy?
  AcNpVO6